A plane-wave DFT calculation with PBE was carried out for crystalline GdLuNb3 at its relaxed geometry.

Properties
Its total magnetization is 0.045 μB per cell. For the uncorrected energy, the calculation gives -7.226 eV/atom. Its calculated density is 8.3 g cm⁻³.

Cell and atoms, written as extended XYZ:
```
10
Lattice="-1.6193 -5.7101 1.9108 3.2634 1.0155 5.8002 -3.2372 2.6782 5.2603" Properties=species:S:1:pos:R:3 pbc="T T T"
Gd 0.0087 1.2306 3.6849
Gd -0.8009 -1.6244 4.6403
Lu 0.0000 0.0000 0.0000
Lu -0.8096 -2.8550 0.9554
Nb 0.4041 0.4574 6.7961
Nb 0.1875 -2.2127 8.8065
Nb -1.9937 -1.9914 7.6196
Nb 0.2064 1.2967 9.1368
Nb -1.7723 1.3507 7.6211
Nb -1.7849 -1.2560 9.9940
```